Entry 1:
CrHS2, optimized geometry, DFT PBE; raw total energy = -5.622 eV per atom; M_tot = 0.00 μB per cell; SG = Pm, No. 6; offset from the most stable computed form = 0.60 eV per formula unit
1.0
5.6660 0.0000 0.0000
0.0000 5.1576 0.0000
-0.8598 0.0000 5.7744
Cr H S
2 2 4
Cartesian
0.0000 1.2515 0.0000 Cr
0.0000 3.9061 0.0000 Cr
4.5728 0.0000 0.6125 H
4.6942 0.0000 3.0925 H
0.3651 2.5788 4.6079 S
1.3915 0.0000 1.0545 S
3.8033 0.0000 4.1278 S
4.3520 2.5788 1.0774 S

---

Entry 2:
TlCrRhS3, optimized geometry, DFT PBE; raw formation energy = -0.445 eV per atom; raw total energy = -5.732 eV per atom; M_tot = 2.81 μB per cell; SG = P2_1/m, No. 11
1.0
7.8265 0.0000 0.0000
0.0000 3.5132 0.0000
-3.8869 0.0000 8.7669
Tl Cr Rh S
2 2 2 6
Cartesian
0.9351 0.8783 2.0205 Tl
3.0045 2.6349 6.7464 Tl
-0.9880 2.6349 5.7522 Cr
4.9276 0.8783 3.0147 Cr
-0.0844 0.8783 7.6982 Rh
4.0240 2.6349 1.0687 Rh
-1.2566 2.6349 3.3495 S
-1.5420 2.6349 7.9960 S
0.5880 0.8783 5.4621 S
3.3515 2.6349 3.3048 S
5.4815 0.8783 0.7709 S
5.1961 0.8783 5.4174 S

---

Entry 3:
BaPuCuTe4, optimized geometry, DFT PBE; raw formation energy = -0.892 eV per atom; raw total energy = -5.595 eV per atom; M_tot = 8.57 μB per cell; SG = P2_1/m, No. 11
1.0
7.6960 0.0000 0.0000
0.0000 6.3458 0.0000
-2.8534 0.0000 9.1424
Ba Pu Cu Te
2 2 2 8
Cartesian
1.7194 1.5865 0.5871 Ba
3.1233 4.7594 8.5553 Ba
0.5144 1.5865 5.1226 Pu
4.3283 4.7594 4.0198 Pu
1.1236 4.7594 2.9153 Cu
3.7191 1.5865 6.2272 Cu
-1.9263 3.2023 6.5545 Te
-1.9263 6.3165 6.5545 Te
1.5307 4.7594 5.4304 Te
2.9970 4.7594 1.2011 Te
1.8457 1.5865 7.9413 Te
3.3120 1.5865 3.7120 Te
6.7690 0.0293 2.5879 Te
6.7690 3.1436 2.5879 Te

---

Entry 4:
CsScAsAu2, optimized geometry, DFT PBE; raw total energy = -3.722 eV per atom; M_tot = 0.00 μB per cell; SG = P4/mmm, No. 123
1.0
5.3965 0.0000 0.0000
0.0000 5.3965 0.0000
0.0000 0.0000 5.0726
Cs Sc As Au
1 1 1 2
Cartesian
0.0000 0.0000 0.0000 Cs
2.6982 2.6982 0.0000 Sc
2.6982 2.6982 2.5363 As
0.0000 2.6982 2.5363 Au
2.6982 0.0000 2.5363 Au

---

Entry 5:
RuSe8, optimized geometry, DFT PBE; raw formation energy = 0.310 eV per atom; raw total energy = -3.818 eV per atom; M_tot = 0.99 μB per cell; SG = I4/mmm, No. 139
1.0
-5.8575 5.8575 1.8452
5.8575 -5.8575 1.8452
5.8575 5.8575 -1.8452
Ru Se
1 8
Cartesian
0.0000 0.0000 0.0000 Ru
2.4112 0.0000 0.0000 Se
9.3037 0.0000 0.0000 Se
0.0000 2.4112 0.0000 Se
3.6760 3.6760 0.0000 Se
2.1815 -2.1815 1.8452 Se
-2.1815 2.1815 1.8452 Se
2.1815 2.1815 1.8452 Se
0.0000 9.3037 0.0000 Se

---

Entry 6:
Ac3HgPd9Au2, optimized geometry, DFT PBE; raw total energy = -4.619 eV per atom; M_tot = 0.00 μB per cell; SG = P-3m1, No. 164
1.0
8.2153 0.0000 0.0000
-4.1076 7.1146 0.0000
0.0000 0.0000 6.3266
Ac Hg Pd Au
3 1 9 2
Cartesian
0.0000 0.0000 0.0000 Ac
0.0000 4.7431 4.2256 Ac
4.1076 2.3715 2.1010 Ac
0.0000 0.0000 3.1633 Hg
-2.0538 3.5573 0.0000 Pd
0.0000 2.3497 2.0358 Pd
-2.0727 5.9398 2.0358 Pd
2.0349 1.1749 4.2908 Pd
4.1076 0.0000 0.0000 Pd
2.0538 3.5573 0.0000 Pd
2.0727 5.9398 2.0358 Pd
6.1804 1.1749 4.2908 Pd
4.1076 4.7649 4.2908 Pd
0.0000 4.7431 1.0600 Au
4.1076 2.3715 5.2666 Au

---

Entry 7:
ReSb2Te, optimized geometry, DFT PBE; raw formation energy = 0.973 eV per atom; raw total energy = -4.985 eV per atom; M_tot = 0.32 μB per cell; SG = P4/mmm, No. 123
1.0
5.1441 0.0000 0.0000
0.0000 5.1441 0.0000
0.0000 0.0000 3.3707
Re Sb Te
1 2 1
Cartesian
0.0000 0.0000 0.0000 Re
0.0000 2.5720 1.6853 Sb
2.5720 0.0000 1.6853 Sb
2.5720 2.5720 0.0000 Te

---

Entry 8:
Tb3In2Ag4, optimized geometry, DFT PBE; raw total energy = -3.762 eV per atom; M_tot = 0.00 μB per cell; SG = C2/m, No. 12
1.0
5.4360 -2.4282 0.0000
5.4360 2.4282 0.0000
-4.5188 0.0000 7.9087
Tb In Ag
3 2 4
Cartesian
0.0000 0.0000 0.0000 Tb
2.2167 0.0000 2.5701 Tb
4.1367 0.0000 5.3386 Tb
0.8911 0.0000 5.6237 In
5.4622 0.0000 2.2850 In
-1.0968 0.0000 3.1568 Ag
-1.2314 0.0000 7.4842 Ag
7.5847 0.0000 0.4245 Ag
7.4501 0.0000 4.7519 Ag

---

Entry 9:
PPtCl2, optimized geometry, DFT PBE; raw formation energy = 0.928 eV per atom; raw total energy = -2.858 eV per atom; M_tot = 0.00 μB per cell; SG = Cmmm, No. 65; offset from the most stable computed form = 6.02 eV per formula unit
1.0
2.9696 -4.0199 0.0000
2.9696 4.0199 0.0000
0.0000 0.0000 2.9520
P Pt Cl
1 1 2
Cartesian
0.0000 0.0000 0.0000 P
2.9696 0.0000 0.0000 Pt
1.4848 2.0100 1.4760 Cl
1.4848 -2.0100 1.4760 Cl

---

Entry 10:
MgPtC3, optimized geometry, DFT PBE; raw total energy = -3.975 eV per atom; M_tot = 0.00 μB per cell; SG = Pm-3m, No. 221; offset from the most stable computed form = 4.49 eV per formula unit
1.0
4.0157 0.0000 0.0000
0.0000 4.0157 0.0000
0.0000 0.0000 4.0157
Mg Pt C
1 1 3
Cartesian
0.0000 0.0000 0.0000 Mg
2.0079 2.0079 2.0079 Pt
0.0000 0.0000 2.0079 C
0.0000 2.0079 0.0000 C
2.0079 0.0000 0.0000 C

---

Entry 11:
ZrCdPdRh, optimized geometry, DFT PBE; raw total energy = -6.091 eV per atom; M_tot = 0.00 μB per cell; SG = I-4m2, No. 119
1.0
-2.1672 2.1672 3.7149
2.1672 -2.1672 3.7149
2.1672 2.1672 -3.7149
Zr Cd Pd Rh
1 1 1 1
Cartesian
0.0000 0.0000 0.0000 Zr
0.0000 0.0000 3.7149 Cd
2.1672 0.0000 1.8575 Pd
0.0000 2.1672 1.8575 Rh

---

Entry 12:
La2PIrN, optimized geometry, DFT PBE; raw formation energy = 0.101 eV per atom; raw total energy = -6.389 eV per atom; M_tot = 0.36 μB per cell; SG = P4/mmm, No. 123
1.0
5.5338 0.0000 0.0000
0.0000 5.5338 0.0000
0.0000 0.0000 4.2342
La P Ir N
2 1 1 1
Cartesian
0.0000 2.7669 0.0000 La
2.7669 0.0000 0.0000 La
0.0000 0.0000 0.0000 P
0.0000 0.0000 2.1171 Ir
2.7669 2.7669 2.1171 N

---

Entry 13:
CaLa2Sb2, optimized geometry, DFT PBE; raw formation energy = -0.667 eV per atom; raw total energy = -4.687 eV per atom; M_tot = 0.00 μB per cell; SG = I4/mmm, No. 139; offset from the most stable computed form = 2.05 eV per formula unit
1.0
-2.3853 2.3853 7.4428
2.3853 -2.3853 7.4428
2.3853 2.3853 -7.4428
Ca La Sb
1 2 2
Cartesian
0.0000 0.0000 0.0000 Ca
2.3853 0.0000 3.7214 La
0.0000 2.3853 3.7214 La
0.0000 0.0000 5.9312 Sb
0.0000 0.0000 8.9544 Sb

---

Entry 14:
K2Ce4Bi3O2, optimized geometry, DFT PBE; raw formation energy = -1.374 eV per atom; raw total energy = -5.691 eV per atom; M_tot = 3.89 μB per cell; SG = I4/mmm, No. 139
1.0
-2.4389 2.4389 14.0471
2.4389 -2.4389 14.0471
2.4389 2.4389 -14.0471
K Ce Bi O
2 4 3 2
Cartesian
0.0000 0.0000 5.7082 K
0.0000 0.0000 22.3860 K
2.4389 0.0000 2.3032 Ce
2.4389 0.0000 11.7439 Ce
0.0000 2.4389 2.3032 Ce
0.0000 2.4389 11.7439 Ce
0.0000 0.0000 9.4967 Bi
0.0000 0.0000 14.0471 Bi
0.0000 0.0000 18.5975 Bi
0.0000 0.0000 2.3833 O
0.0000 0.0000 25.7109 O

---

Entry 15:
Cs5Rb12Pt2, optimized geometry, DFT PBE; raw total energy = -1.443 eV per atom; M_tot = 0.00 μB per cell; SG = P-1, No. 2
1.0
8.6130 0.0000 0.0000
-0.8671 12.7524 0.0000
-0.1448 -0.4357 14.0507
Cs Rb Pt
5 12 2
Cartesian
0.0000 0.0000 0.0000 Cs
1.6652 5.1319 2.9292 Cs
1.5139 7.4017 8.2713 Cs
6.0872 4.9150 5.7794 Cs
5.9359 7.1848 11.1215 Cs
-0.7043 11.5706 8.7785 Rb
0.9713 9.8311 4.4545 Rb
1.8607 3.7974 12.0613 Rb
1.6227 8.4133 13.5156 Rb
2.7651 2.3958 7.6671 Rb
3.3614 11.7448 10.0608 Rb
4.2397 0.5718 3.9899 Rb
4.8360 9.9209 6.3836 Rb
5.9784 3.9034 0.5351 Rb
5.7404 8.5193 1.9894 Rb
6.6297 2.4855 9.5962 Rb
8.3054 0.7461 5.2722 Rb
2.1767 11.9369 6.8536 Pt
5.4244 0.3798 7.1972 Pt

---

Entry 16:
HgPb2W, optimized geometry, DFT PBE; raw total energy = -4.492 eV per atom; M_tot = 0.00 μB per cell; SG = Cmm2, No. 35
1.0
1.7853 -2.5382 0.0000
1.7853 2.5382 0.0000
0.0000 0.0000 10.8693
Hg Pb W
1 2 1
Cartesian
0.0000 0.0000 0.0000 Hg
0.0000 0.0000 4.6294 Pb
1.7853 0.0000 8.2091 Pb
1.7853 0.0000 2.2620 W